Record 1
# Zr2AlBr

A relaxed Zr2AlBr crystal (PBEsol, Alexandria via LeMat-Bulk).

Properties
For the volume, the calculation gives 21.5 A^3/atom. As for the uncorrected formation energy: -24 kJ/mol of atoms. The calculation puts the size of the total moment at 0.00 Bohr magnetons per cell.

Unit cell a=3.611 b=3.611 c=6.591 alpha=90.00 beta=90.00 gamma=90.00
Fractional positions:
Al 0.000 0.000 0.442
Br 0.500 0.500 0.813
Zr 0.500 0.500 0.258
Zr 0.000 0.000 0.987

Record 2
# Cd2PAu

A relaxed Cd2PAu crystal (PBEsol, Alexandria via LeMat-Bulk).

Properties
For the volume, the calculation gives 18.6 A^3/atom. The calculation puts the formation enthalpy at 0 K at 109 meV per atom. The calculation puts the size of the total moment at 0.00 Bohr magnetons per cell.

Unit cell a=2.829 b=5.123 c=5.127 alpha=90.00 beta=90.01 gamma=90.00
Fractional positions:
Cd 0.875 0.500 0.625
P 0.376 0.000 0.625
Au 0.375 0.500 0.125
Cd 0.874 0.000 0.125

What did the first record say?
# Zr2AlBr

A relaxed Zr2AlBr crystal (PBEsol, Alexandria via LeMat-Bulk).

Properties
For the volume, the calculation gives 21.5 A^3/atom. As for the uncorrected formation energy: -24 kJ/mol of atoms. The calculation puts the size of the total moment at 0.00 Bohr magnetons per cell.

Unit cell a=3.611 b=3.611 c=6.591 alpha=90.00 beta=90.00 gamma=90.00
Fractional positions:
Al 0.000 0.000 0.442
Br 0.500 0.500 0.813
Zr 0.500 0.500 0.258
Zr 0.000 0.000 0.987

What did the second record say?
# Cd2PAu

A relaxed Cd2PAu crystal (PBEsol, Alexandria via LeMat-Bulk).

Properties
For the volume, the calculation gives 18.6 A^3/atom. The calculation puts the formation enthalpy at 0 K at 109 meV per atom. The calculation puts the size of the total moment at 0.00 Bohr magnetons per cell.

Unit cell a=2.829 b=5.123 c=5.127 alpha=90.00 beta=90.01 gamma=90.00
Fractional positions:
Cd 0.875 0.500 0.625
P 0.376 0.000 0.625
Au 0.375 0.500 0.125
Cd 0.874 0.000 0.125

Copy entry 1 word for word.
# Zr2AlBr

A relaxed Zr2AlBr crystal (PBEsol, Alexandria via LeMat-Bulk).

Properties
For the volume, the calculation gives 21.5 A^3/atom. As for the uncorrected formation energy: -24 kJ/mol of atoms. The calculation puts the size of the total moment at 0.00 Bohr magnetons per cell.

Unit cell a=3.611 b=3.611 c=6.591 alpha=90.00 beta=90.00 gamma=90.00
Fractional positions:
Al 0.000 0.000 0.442
Br 0.500 0.500 0.813
Zr 0.500 0.500 0.258
Zr 0.000 0.000 0.987